[1]
# AgSnHgBi PBE-GGA optimized geometry
data_AgSnHgBi
_chemical_formula_sum 'Ag4 Sn4 Hg4 Bi4'
_space_group_name_H-M_alt 'F -4 3 m'
_space_group_IT_number 216
_space_group_name_Hall 'F -4 2 3'
_cell_length_a 7.416
_cell_length_b 7.416
_cell_length_c 7.416
_cell_angle_alpha 90.00
_cell_angle_beta 90.00
_cell_angle_gamma 90.00
loop_
_atom_site_label
_atom_site_type_symbol
_atom_site_fract_x
_atom_site_fract_y
_atom_site_fract_z
_atom_site_occupancy
Ag1 Ag 0.000 0.000 0.000 1
Sn1 Sn 0.250 0.250 0.750 1
Hg1 Hg 0.000 0.000 0.500 1
Bi1 Bi 0.250 0.250 0.250 1
# - energy (eV per cell) = -42.08
# - magnetic moment (μB/atom) = 0.000
# - crystal system = cubic
# - DOS(E_F) (states/eV per cell) = 6.04
# - ΔE_f (meV/atom) = 129.1

***

[2]
# KTl2BAu PBE-GGA optimized geometry
data_KTl2BAu
_chemical_formula_sum 'K1 Tl2 B1 Au1'
_space_group_name_H-M_alt 'P 4/m m m'
_space_group_IT_number 123
_space_group_name_Hall '-P 4 2'
_cell_length_a 6.047
_cell_length_b 6.047
_cell_length_c 4.169
_cell_angle_alpha 90.00
_cell_angle_beta 90.00
_cell_angle_gamma 90.00
loop_
_atom_site_label
_atom_site_type_symbol
_atom_site_fract_x
_atom_site_fract_y
_atom_site_fract_z
_atom_site_occupancy
K1 K 0.000 0.000 0.000 1
Tl1 Tl 0.000 0.500 0.500 1
B1 B 0.500 0.500 0.000 1
Au1 Au 0.500 0.500 0.500 1
# - energy (eV per cell) = -13.44
# - magnetic moment (μB/atom) = 0.000
# - crystal system = tetragonal
# - DOS(E_F) (states/eV per cell) = 4.38
# - ΔE_f (meV/atom) = 468.2

***

[3]
# Dy2BC PBE-GGA optimized geometry
data_Dy2BC
_chemical_formula_sum 'Dy4 B2 C2'
_space_group_name_H-M_alt 'C 1 2/m 1'
_space_group_IT_number 12
_space_group_name_Hall '-C 2y'
_cell_length_a 13.405
_cell_length_b 3.533
_cell_length_c 3.045
_cell_angle_alpha 90.00
_cell_angle_beta 103.07
_cell_angle_gamma 90.00
loop_
_atom_site_label
_atom_site_type_symbol
_atom_site_fract_x
_atom_site_fract_y
_atom_site_fract_z
_atom_site_occupancy
Dy1 Dy 0.135 0.000 0.133 1
B1 B 0.000 0.500 0.500 1
C1 C 0.000 0.500 0.000 1
# - energy (eV per cell) = -51.09
# - magnetic moment (μB/atom) = 0.000
# - crystal system = monoclinic
# - DOS(E_F) (states/eV per cell) = 6.92
# - ΔE_f (meV/atom) = -109.7

***

[4]
# Ho2Er3In2 PBE-GGA optimized geometry
data_Ho2Er3In2
_chemical_formula_sum 'Ho6 Er9 In6'
_space_group_name_H-M_alt 'R -3 m'
_space_group_IT_number 166
_space_group_name_Hall '-R 3 2"'
_cell_length_a 5.3395
_cell_length_b 5.3395
_cell_length_c 23.8293
_cell_angle_alpha 90.00
_cell_angle_beta 90.00
_cell_angle_gamma 120.00
loop_
_atom_site_label
_atom_site_type_symbol
_atom_site_fract_x
_atom_site_fract_y
_atom_site_fract_z
_atom_site_occupancy
Ho1 Ho 0.0000 0.0000 0.0753 1
Er1 Er 0.0000 0.0000 0.3472 1
Er2 Er 0.0000 0.0000 0.5000 1
In1 In 0.0000 0.0000 0.2165 1
# - energy (eV per cell) = -90.69
# - magnetic moment (μB/atom) = 0.000
# - crystal system = trigonal
# - DOS(E_F) (states/eV per cell) = 16.39
# - ΔE_f (meV/atom) = -272.7
# - relative energy among the computed polymorphs (meV/atom) = 0

***

[5]
# RbGa3S5 PBE-GGA optimized geometry
data_RbGa3S5
_chemical_formula_sum 'Rb4 Ga12 S20'
_space_group_name_H-M_alt 'P 1 21/c 1'
_space_group_IT_number 14
_space_group_name_Hall '-P 2ybc'
_cell_length_a 7.250
_cell_length_b 12.946
_cell_length_c 10.728
_cell_angle_alpha 90.00
_cell_angle_beta 104.60
_cell_angle_gamma 90.00
loop_
_atom_site_label
_atom_site_type_symbol
_atom_site_fract_x
_atom_site_fract_y
_atom_site_fract_z
_atom_site_occupancy
Rb1 Rb 0.163 0.120 0.388 1
Ga1 Ga 0.193 0.075 0.899 1
Ga2 Ga 0.298 0.662 0.626 1
Ga3 Ga 0.441 0.603 0.308 1
S1 S 0.080 0.627 0.740 1
S2 S 0.193 0.606 0.412 1
S3 S 0.276 0.166 0.083 1
S4 S 0.347 0.665 0.105 1
S5 S 0.418 0.077 0.771 1
# - energy (eV per cell) = -154.09
# - magnetic moment (μB/atom) = 0.000
# - raw formation energy (eV per formula unit) = -7.836
# - crystal system = monoclinic
# - DOS(E_F) (states/eV per cell) = 0.00

***

[6]
# Hf2ZnPd4 PBE-GGA optimized geometry
data_Hf2ZnPd4
_chemical_formula_sum 'Hf4 Zn2 Pd8'
_space_group_name_H-M_alt 'I 4/m m m'
_space_group_IT_number 139
_space_group_name_Hall '-I 4 2'
_cell_length_a 4.577
_cell_length_b 4.577
_cell_length_c 13.412
_cell_angle_alpha 90.00
_cell_angle_beta 90.00
_cell_angle_gamma 90.00
loop_
_atom_site_label
_atom_site_type_symbol
_atom_site_fract_x
_atom_site_fract_y
_atom_site_fract_z
_atom_site_occupancy
Hf1 Hf 0.000 0.000 0.128 1
Zn1 Zn 0.000 0.000 0.500 1
Pd1 Pd 0.000 0.000 0.313 1
Pd2 Pd 0.000 0.500 0.000 1
# - energy (eV per cell) = -83.30
# - magnetic moment (μB/atom) = 0.000
# - crystal system = tetragonal
# - DOS(E_F) (states/eV per cell) = 9.69
# - ΔE_f (meV/atom) = 43.0
# - relative energy among the computed polymorphs (meV/atom) = 598

***

Question: Among the records above, which one has the highest DOS(E_F)?
Answer: Ho2Er3In2